# DySc2Sn

A relaxed DySc2Sn crystal (PBE, the Alexandria database).

Space-group type: P4/mmm
Total moment: 0.00 μB/f.u.
DFT formation energy: -0.2734 eV/atom
Raw total energy: -5.590 eV/atom
Energy relative to the lowest polymorph listed for this composition: 18.0 kJ/mol of atoms

Cell and atoms, written as POSCAR:
```
DySc2Sn
1.0
3.642 0.000 0.000
0.000 3.642 0.000
0.000 0.000 7.645
Dy Sc Sn
1 2 1
Direct
0.500 0.500 0.500 Dy
0.000 0.000 0.780 Sc
0.000 0.000 0.220 Sc
0.500 0.500 0.000 Sn
```

---

# DyScSn

A relaxed DyScSn crystal (PBE, the Alexandria database).

Space-group type: P-6m2
Total moment: 0.00 μB/f.u.
DFT formation energy: 0.7130 eV/atom
Raw total energy: -4.266 eV/atom
Energy relative to the lowest polymorph listed for this composition: 129.4 kJ/mol of atoms

Cell and atoms, written as POSCAR:
```
DyScSn
1.0
4.843 0.000 0.000
-2.422 4.195 0.000
0.000 0.000 5.646
Sc Sn Dy
1 1 1
Direct
0.667 0.333 0.500 Sc
0.333 0.667 0.500 Sn
0.667 0.333 0.000 Dy
```

---

# Dy3Sc5Sn2

A relaxed Dy3Sc5Sn2 crystal (PBE, the Alexandria database).

Space-group type: Ibam
Total moment: 0.56 μB/f.u.
DFT formation energy: -0.1007 eV/atom
Raw total energy: -5.448 eV/atom

Cell and atoms, written as POSCAR:
```
Dy3Sc5Sn2
1.0
-1.221 -4.778 3.557
-6.610 -5.781 -4.838
7.640 -6.438 -0.829
Sc Dy Sn
10 6 4
Direct
0.891 0.450 0.768 Sc
0.508 0.742 0.742 Sc
0.992 0.258 0.258 Sc
0.109 0.550 0.232 Sc
0.391 0.768 0.450 Sc
0.492 0.258 0.258 Sc
0.609 0.232 0.550 Sc
0.008 0.742 0.742 Sc
0.250 0.500 0.500 Sc
0.750 0.500 0.500 Sc
0.119 0.108 0.653 Dy
0.381 0.347 0.892 Dy
0.619 0.653 0.108 Dy
0.250 0.000 0.000 Dy
0.750 0.000 0.000 Dy
0.881 0.892 0.347 Dy
0.648 0.002 0.702 Sn
0.352 0.998 0.298 Sn
0.852 0.298 0.998 Sn
0.148 0.702 0.002 Sn
```

---

# DyScSn2

A relaxed DyScSn2 crystal (PBE, the Alexandria database).

Space-group type: P4/mmm
Total moment: 0.01 μB/f.u.
DFT formation energy: -0.5362 eV/atom
Raw total energy: -5.271 eV/atom

Cell and atoms, written as POSCAR:
```
DyScSn2
1.0
-1.967 1.967 -2.706
2.567 -1.125 -2.684
-3.678 -5.402 -1.253
Sn Dy Sc
2 1 1
Direct
0.000 0.000 0.229 Sn
0.000 0.000 0.771 Sn
0.500 0.500 0.500 Dy
0.500 0.500 0.000 Sc
```

---

# DySc2Sn

A relaxed DySc2Sn crystal (PBE, the Alexandria database).

Space-group type: Cmcm
Total moment: 0.00 μB/f.u.
DFT formation energy: -0.4600 eV/atom
Raw total energy: -5.777 eV/atom
Energy relative to the lowest polymorph listed for this composition: 0.0 kJ/mol of atoms

Cell and atoms, written as POSCAR:
```
DySc2Sn
1.0
-4.265 0.713 1.177
-1.206 -3.625 -2.171
2.070 -3.956 9.897
Dy Sn Sc
2 2 4
Direct
0.250 0.310 0.620 Dy
0.750 0.690 0.380 Dy
0.250 0.160 0.320 Sn
0.750 0.840 0.680 Sn
0.750 0.445 0.890 Sc
0.750 0.061 0.122 Sc
0.250 0.939 0.878 Sc
0.250 0.555 0.110 Sc
```

---

# Dy5ScSn4

A relaxed Dy5ScSn4 crystal (PBE, the Alexandria database).

Space-group type: C2/m
Total moment: 0.00 μB/f.u.
DFT formation energy: -0.3098 eV/atom
Raw total energy: -4.845 eV/atom

Cell and atoms, written as POSCAR:
```
Dy5ScSn4
1.0
-2.566 -0.052 2.545
-3.273 -8.034 -3.464
7.646 -2.504 5.091
Dy Sn Sc
5 4 1
Direct
0.832 0.195 0.663 Dy
0.500 0.500 0.000 Dy
0.168 0.805 0.337 Dy
0.174 0.364 0.349 Dy
0.826 0.636 0.651 Dy
0.003 0.245 0.005 Sn
0.337 0.919 0.674 Sn
0.997 0.755 0.995 Sn
0.663 0.081 0.326 Sn
0.500 0.000 0.000 Sc
```

---

# DySc4Sn4

A relaxed DySc4Sn4 crystal (PBE, the Alexandria database).

Space-group type: P4_2/n
Total moment: 0.00 μB/f.u.
DFT formation energy: -0.3471 eV/atom
Raw total energy: -5.451 eV/atom

Cell and atoms, written as POSCAR:
```
DySc4Sn4
1.0
5.808 0.000 0.000
0.000 9.463 0.000
0.000 0.000 9.463
Dy Sn Sc
2 8 8
Direct
0.000 0.000 0.000 Dy
0.500 0.500 0.500 Dy
0.411 0.357 0.205 Sn
0.911 0.295 0.857 Sn
0.089 0.143 0.295 Sn
0.911 0.705 0.143 Sn
0.589 0.205 0.643 Sn
0.411 0.643 0.795 Sn
0.589 0.795 0.357 Sn
0.089 0.857 0.705 Sn
0.396 0.646 0.107 Sc
0.896 0.393 0.146 Sc
0.104 0.854 0.393 Sc
0.604 0.107 0.354 Sc
0.396 0.354 0.893 Sc
0.604 0.893 0.646 Sc
0.104 0.146 0.607 Sc
0.896 0.607 0.854 Sc
```

---

# DyScSn2

A relaxed DyScSn2 crystal (PBE, the Alexandria database).

Space-group type: Amm2
Total moment: 0.00 μB/f.u.
DFT formation energy: -0.6453 eV/atom
Raw total energy: -5.380 eV/atom

Cell and atoms, written as POSCAR:
```
DyScSn2
1.0
4.123 0.000 -1.498
0.000 4.234 0.000
-0.158 0.000 5.981
Sc Dy Sn
1 1 2
Direct
0.452 0.500 0.442 Sc
0.714 0.000 0.968 Dy
0.179 0.500 0.898 Sn
0.986 0.000 0.511 Sn
```

---

# DySc2Sn

A relaxed DySc2Sn crystal (PBE, the Alexandria database).

Space-group type: P4/mmm
Total moment: 0.85 μB/f.u.
DFT formation energy: -0.4086 eV/atom
Raw total energy: -5.726 eV/atom
Energy relative to the lowest polymorph listed for this composition: 5.0 kJ/mol of atoms

Cell and atoms, written as POSCAR:
```
DySc2Sn
1.0
-1.735 3.340 2.601
0.277 -2.745 3.710
4.269 1.565 0.838
Sc Dy Sn
2 1 1
Direct
0.000 0.000 0.500 Sc
0.000 0.500 0.000 Sc
0.500 0.500 0.500 Dy
0.500 0.000 0.000 Sn
```

---

# DySc2Sn

A relaxed DySc2Sn crystal (PBE, the Alexandria database).

Space-group type: F-43m
Total moment: 0.29 μB/f.u.
DFT formation energy: -0.2521 eV/atom
Raw total energy: -5.569 eV/atom
Energy relative to the lowest polymorph listed for this composition: 20.1 kJ/mol of atoms

Cell and atoms, written as POSCAR:
```
DySc2Sn
1.0
-2.068 -4.472 1.566
0.103 -4.126 -3.113
3.062 -4.010 1.124
Sn Sc Dy
1 2 1
Direct
0.750 0.750 0.750 Sn
0.000 0.000 0.000 Sc
0.250 0.250 0.250 Sc
0.500 0.500 0.500 Dy
```

---

# DyScSn

A relaxed DyScSn crystal (PBE, the Alexandria database).

Space-group type: Pnma
Total moment: 0.68 μB/f.u.
DFT formation energy: -0.6064 eV/atom
Raw total energy: -5.585 eV/atom
Energy relative to the lowest polymorph listed for this composition: 2.1 kJ/mol of atoms

Cell and atoms, written as POSCAR:
```
DyScSn
1.0
-1.338 -4.035 -1.025
7.007 -2.843 2.050
-3.021 -1.199 8.664
Dy Sc Sn
4 4 4
Direct
0.250 0.959 0.830 Dy
0.750 0.041 0.170 Dy
0.250 0.459 0.670 Dy
0.750 0.541 0.330 Dy
0.250 0.871 0.440 Sc
0.750 0.629 0.940 Sc
0.250 0.371 0.060 Sc
0.750 0.129 0.560 Sc
0.750 0.254 0.864 Sn
0.250 0.746 0.136 Sn
0.250 0.246 0.364 Sn
0.750 0.754 0.636 Sn
```

---

# DyScSn

A relaxed DyScSn crystal (PBE, the Alexandria database).

Space-group type: P4/nmm
Total moment: 0.00 μB/f.u.
DFT formation energy: -0.6282 eV/atom
Raw total energy: -5.607 eV/atom
Energy relative to the lowest polymorph listed for this composition: 0.0 kJ/mol of atoms

Cell and atoms, written as POSCAR:
```
DyScSn
1.0
4.409 0.000 0.000
0.000 4.409 0.000
0.000 0.000 8.163
Dy Sc Sn
2 2 2
Direct
0.500 0.000 0.155 Dy
0.000 0.500 0.845 Dy
0.000 0.000 0.500 Sc
0.500 0.500 0.500 Sc
0.500 0.000 0.763 Sn
0.000 0.500 0.237 Sn
```

---

Which value of raw total energy does entry 5 give? -5.777 eV/atom

---

Which formula does entry 8 have? DyScSn2

---

What is the formula in the first record? DySc2Sn